1.
The following is a DFT calculation (GGA-PBE) of crystalline ScCrInRh at its relaxed geometry.

```
ScCrInRh
1.0
-2.2479 1.3868 -3.7574
-4.5680 0.4668 0.0981
-1.8840 4.1865 -0.1348
Sc Cr Rh In
1 1 1 1
Cartesian
-6.5249 4.5300 -2.8455 Sc
0.0000 0.0000 0.0000 Cr
-4.3499 3.0200 -1.8970 Rh
-2.1750 1.5100 -0.9485 In
```

Values from the calculation:
Energy of formation from the pure elements: -36 kJ/mol of atoms
Space-group type: F-43m, No. 216

---

2.
The following is a DFT calculation (GGA-PBE) of crystalline AsRuRh2 at its relaxed geometry.

```
AsRuRh2
1.0
5.2265 0.0000 0.0042
2.5545 4.5597 -0.0042
-3.3740 -3.1613 2.4370
Rh Ru As
2 1 1
Cartesian
2.8570 -0.4493 1.2206 Rh
0.2727 0.1598 0.0000 Rh
3.6240 2.1237 0.0000 Ru
1.5439 1.8440 1.2164 As
```

Values from the calculation:
Energy of formation from the pure elements: -3 kJ/mol of atoms
Space-group type: Imm2, No. 44